1.
The following is a DFT calculation (GGA-PBE) of crystalline Pm3HgIr at its relaxed geometry.

Formation enthalpy at 0 K, eV per atom: -0.276
DFT total energy, eV/atom: -4.9585

abc: 5.5081 5.5081 5.5081
angles: 90.00 90.00 90.00
Element x y z (fractional)
Pm  0.0000  0.0000  0.5000
Pm  0.0000  0.5000  0.0000
Pm  0.5000  0.0000  0.0000
Hg  0.5000  0.5000  0.5000
Ir  0.0000  0.0000  0.0000

=====

2.
The following is a DFT calculation (GGA-PBE) of crystalline La9Nd4Tl11 at its relaxed geometry.

Formation enthalpy at 0 K, eV per atom: -0.349
DFT total energy, eV/atom: -4.0755

abc: 14.3438 14.3438 3.6888
angles: 90.00 90.00 99.85
Element x y z (fractional)
La  0.0000  0.0000  0.0000
La  0.1228  0.6428  0.0000
La  0.2920  0.4665  0.0000
La  0.3572  0.8772  0.0000
La  0.4665  0.2920  0.0000
La  0.5335  0.7080  0.0000
La  0.6428  0.1228  0.0000
La  0.7080  0.5335  0.0000
La  0.8772  0.3572  0.0000
Nd  0.0648  0.2365  0.0000
Nd  0.2365  0.0648  0.0000
Nd  0.7635  0.9352  0.0000
Nd  0.9352  0.7635  0.0000
Tl  0.0828  0.4325  0.5000
Tl  0.1370  0.8630  0.5000
Tl  0.2611  0.2611  0.5000
Tl  0.3298  0.6702  0.5000
Tl  0.4325  0.0828  0.5000
Tl  0.5000  0.5000  0.5000
Tl  0.5675  0.9172  0.5000
Tl  0.6702  0.3298  0.5000
Tl  0.7389  0.7389  0.5000
Tl  0.8630  0.1370  0.5000
Tl  0.9172  0.5675  0.5000

=====

3.
The following is a DFT calculation (GGA-PBE) of crystalline LiBe2VI at its relaxed geometry.

Energy relative to the elements, uncorrected, eV per formula unit: 6.37
DFT total energy, eV/atom: -2.7324

abc: 4.1580 4.1580 4.4936
angles: 90.00 90.00 90.00
Element x y z (fractional)
Li  0.0000  0.0000  0.0000
Be  0.0000  0.5000  0.0000
Be  0.5000  0.0000  0.0000
V  0.0000  0.0000  0.5000
I  0.5000  0.5000  0.5000